# 1
Density functional theory data (GGA-PBE) for a relaxed Ba3ErPa2O9 crystal.

Calculated total energy: -8.219 eV/atom
Calculated volume: 263.9 Å³ per cell
Formation energy without anion corrections: -3.29 eV/atom
ρ: 7.46 g/cm³

abc: 6.2849 6.2849 7.7134
angles: 90.00 90.00 120.00
Last column: nearest neighbours and their distance in Å.
Fractional coordinates of all 15 atoms:
Ba (0.3333, 0.6667, 0.6542)  12 O 3.06-3.23
Ba (0.0000, 0.0000, 0.0000)  12 O 3.14-3.16
Ba (0.6667, 0.3333, 0.3458)  12 O 3.06-3.23
Er (0.0000, 0.0000, 0.5000)  6 O 2.24
Pa (0.3333, 0.6667, 0.1709)  6 O 2.19-2.24
Pa (0.6667, 0.3333, 0.8291)  6 O 2.19-2.24
O (0.8317, 0.1683, 0.6667)  1 Pa 2.19, 1 Er 2.24
O (0.8317, 0.6634, 0.6667)  1 Pa 2.19, 1 Er 2.24
O (0.3366, 0.1683, 0.6667)  1 Pa 2.19, 1 Er 2.24
O (0.6634, 0.8317, 0.3333)  1 Pa 2.19, 1 Er 2.24
O (0.1683, 0.3366, 0.3333)  1 Pa 2.19, 1 Er 2.24
O (0.1683, 0.8317, 0.3333)  1 Pa 2.19, 1 Er 2.24
O (0.5000, 0.0000, 0.0000)  2 Pa 2.24
O (0.0000, 0.5000, 0.0000)  2 Pa 2.24
O (0.5000, 0.5000, 0.0000)  2 Pa 2.24


# 2
Density functional theory data (GGA-PBE) for a relaxed Pr3Tl3CrSe8 crystal.

Calculated total energy: -5.037 eV/atom
Calculated volume: 473.0 Å³ per cell
Formation energy without anion corrections: -1.11 eV/atom
ρ: 6.04 g/cm³

abc: 8.4345 8.4347 9.0914
angles: 117.63 90.00 120.00
Last column: nearest neighbours and their distance in Å.
Fractional coordinates of all 15 atoms:
Pr (0.5000, 0.0000, 0.5000)  6 Se 2.96-3.00
Pr (0.5000, 0.5000, 0.5000)  6 Se 2.96-3.00
Pr (0.0000, 0.5000, 0.5000)  6 Se 2.96-3.00
Tl (0.0000, 0.0000, 0.0000)  6 Se 3.25-3.28
Tl (0.0000, 0.5000, 0.0000)  6 Se 3.25-3.28
Tl (0.5000, 0.5000, 0.0000)  6 Se 3.25-3.28
Cr (0.0000, 0.0000, 0.5000)  6 Se 2.62
Se (0.2604, 0.5208, 0.2808)  3 Pr 2.96, 3 Tl 3.25
Se (0.7396, 0.4792, 0.7192)  3 Pr 2.96, 3 Tl 3.25
Se (0.7876, 0.5751, 0.3039)  1 Cr 2.62
Se (0.2124, 0.4249, 0.6961)  1 Cr 2.62
Se (0.7879, 0.0161, 0.3035)  1 Cr 2.62
Se (0.2121, 0.9839, 0.6965)  1 Cr 2.62
Se (0.2282, 0.0161, 0.3035)  1 Cr 2.62
Se (0.7718, 0.9839, 0.6965)  1 Cr 2.62


Repeat the second record exactly.
Density functional theory data (GGA-PBE) for a relaxed Pr3Tl3CrSe8 crystal.

Calculated total energy: -5.037 eV/atom
Calculated volume: 473.0 Å³ per cell
Formation energy without anion corrections: -1.11 eV/atom
ρ: 6.04 g/cm³

abc: 8.4345 8.4347 9.0914
angles: 117.63 90.00 120.00
Last column: nearest neighbours and their distance in Å.
Fractional coordinates of all 15 atoms:
Pr (0.5000, 0.0000, 0.5000)  6 Se 2.96-3.00
Pr (0.5000, 0.5000, 0.5000)  6 Se 2.96-3.00
Pr (0.0000, 0.5000, 0.5000)  6 Se 2.96-3.00
Tl (0.0000, 0.0000, 0.0000)  6 Se 3.25-3.28
Tl (0.0000, 0.5000, 0.0000)  6 Se 3.25-3.28
Tl (0.5000, 0.5000, 0.0000)  6 Se 3.25-3.28
Cr (0.0000, 0.0000, 0.5000)  6 Se 2.62
Se (0.2604, 0.5208, 0.2808)  3 Pr 2.96, 3 Tl 3.25
Se (0.7396, 0.4792, 0.7192)  3 Pr 2.96, 3 Tl 3.25
Se (0.7876, 0.5751, 0.3039)  1 Cr 2.62
Se (0.2124, 0.4249, 0.6961)  1 Cr 2.62
Se (0.7879, 0.0161, 0.3035)  1 Cr 2.62
Se (0.2121, 0.9839, 0.6965)  1 Cr 2.62
Se (0.2282, 0.0161, 0.3035)  1 Cr 2.62
Se (0.7718, 0.9839, 0.6965)  1 Cr 2.62


- Which of these has the highest formation energy without anion corrections?
  Pr3Tl3CrSe8


- Look up the calculated total energy of the first one.
  -8.219 eV/atom


- What is the ρ in the first record?
  7.46 g/cm³